# 1
VASP calculation (GGA-PBE) on crystalline B7C5 at its relaxed geometry.

Summary:
The volume is 7.7 Å³/atom. As for the formation energy: 0.45 eV per atom.

POSCAR file:
```
B7C5
1.0
-0.637 -1.911 -1.694
-1.138 0.089 2.371
-11.212 8.797 -5.710
C B
5 7
Direct
0.333 0.667 0.132 C
0.000 0.000 0.991 C
0.000 0.000 0.386 C
0.333 0.667 0.026 C
0.000 0.000 0.894 C
0.667 0.333 0.378 B
0.667 0.333 0.848 B
0.000 0.000 0.488 B
0.667 0.333 0.146 B
0.333 0.667 0.556 B
0.667 0.333 0.738 B
0.333 0.667 0.666 B
```


# 2
VASP calculation (GGA-PBE) on crystalline B7C5 at its relaxed geometry.

Summary:
The volume is 7.1 Å³/atom. As for the formation energy: 0.35 eV per atom.

POSCAR file:
```
B7C5
1.0
6.032 0.125 -0.182
-4.750 3.719 0.182
-0.118 0.039 3.715
B C
7 5
Direct
0.357 0.634 0.980 B
0.531 0.077 0.306 B
0.910 0.697 0.194 B
0.105 0.272 0.250 B
0.314 0.137 0.751 B
0.467 0.524 0.520 B
0.971 0.481 0.749 B
0.988 0.993 0.988 C
0.689 0.856 0.750 C
0.665 0.344 0.992 C
0.826 0.154 0.512 C
0.177 0.831 0.508 C
```


# 3
VASP calculation (GGA-PBE) on crystalline BC at its relaxed geometry.

Summary:
The volume is 6.8 Å³/atom. As for the formation energy: 0.42 eV per atom.

POSCAR file:
```
BC
1.0
-3.786 -2.271 1.721
2.721 -2.076 -3.086
2.564 -0.280 3.764
C B
6 6
Direct
0.535 0.199 0.622 C
0.186 0.855 0.506 C
0.913 0.888 0.634 C
0.213 0.542 0.576 C
0.011 0.986 0.983 C
0.719 0.010 0.119 C
0.555 0.531 0.571 B
0.058 0.718 0.136 B
0.710 0.302 0.967 B
0.142 0.382 0.189 B
0.366 0.684 0.948 B
0.841 0.154 0.499 B
```


# 4
VASP calculation (GGA-PBE) on crystalline B7C5 at its relaxed geometry.

Summary:
The volume is 7.1 Å³/atom. As for the formation energy: 0.43 eV per atom.

POSCAR file:
```
B7C5
1.0
-0.217 -2.604 0.269
2.049 0.004 1.690
-7.750 1.618 9.390
C B
5 7
Direct
0.000 0.000 0.019 C
0.000 0.500 0.089 C
0.000 0.500 0.414 C
0.500 0.500 0.163 C
0.000 0.000 0.659 C
0.000 0.500 0.728 B
0.000 0.000 0.348 B
0.500 0.000 0.938 B
0.500 0.500 0.838 B
0.500 0.500 0.477 B
0.500 0.000 0.597 B
0.500 0.000 0.231 B
```


# 5
VASP calculation (GGA-PBE) on crystalline BC at its relaxed geometry.

Summary:
The volume is 8.8 Å³/atom. As for the formation energy: 0.26 eV per atom.

POSCAR file:
```
BC
1.0
-1.238 -4.279 -7.506
2.657 -0.554 -8.153
-0.050 -0.104 8.593
C B
6 6
Direct
0.125 0.460 0.665 C
0.500 0.498 0.002 C
0.590 0.594 0.996 C
0.035 0.364 0.671 C
0.531 0.859 0.672 C
0.094 0.100 0.995 C
0.935 0.606 0.329 B
0.190 0.851 0.338 B
0.690 0.352 0.338 B
0.052 0.003 0.050 B
0.573 0.956 0.617 B
0.435 0.107 0.328 B
```


# 6
VASP calculation (GGA-PBE) on crystalline B7C5 at its relaxed geometry.

Summary:
The volume is 7.1 Å³/atom. As for the formation energy: 0.41 eV per atom.

POSCAR file:
```
B7C5
1.0
-5.803 -1.444 2.733
-5.937 -2.779 0.508
3.009 -3.714 2.048
C B
5 7
Direct
0.593 0.593 0.039 C
0.004 0.004 0.516 C
0.574 0.574 0.553 C
0.342 0.342 0.698 C
0.653 0.653 0.817 C
0.247 0.247 0.466 B
0.032 0.032 0.062 B
0.231 0.231 0.837 B
0.901 0.901 0.644 B
0.344 0.344 0.056 B
0.653 0.653 0.340 B
0.926 0.926 0.223 B
```


# 7
VASP calculation (GGA-PBE) on crystalline BC at its relaxed geometry.

Summary:
The volume is 6.5 Å³/atom. As for the formation energy: 0.36 eV per atom.

POSCAR file:
```
BC
1.0
3.855 -0.047 -2.198
3.056 2.350 -2.198
-0.106 -0.035 8.601
B C
6 6
Direct
0.529 0.529 0.877 B
0.124 0.124 0.204 B
0.853 0.853 0.029 B
0.321 0.321 0.163 B
0.183 0.183 0.707 B
0.639 0.639 0.356 B
0.684 0.684 0.823 C
0.341 0.341 0.653 C
0.839 0.839 0.556 C
0.976 0.976 0.491 C
0.469 0.469 0.389 C
0.044 0.044 0.999 C
```


# 8
VASP calculation (GGA-PBE) on crystalline BC at its relaxed geometry.

Summary:
The volume is 6.9 Å³/atom. As for the formation energy: 0.49 eV per atom.

POSCAR file:
```
BC
1.0
-1.340 2.210 -0.689
-2.066 -2.320 -3.427
-5.133 -1.887 3.929
B C
6 6
Direct
0.000 0.733 0.682 B
0.000 0.261 0.588 B
0.500 0.507 0.247 B
0.000 0.283 0.334 B
0.500 0.503 0.968 B
0.500 0.890 0.340 B
0.000 0.996 0.000 C
0.500 0.182 0.697 C
0.000 0.682 0.923 C
0.500 0.829 0.577 C
0.500 0.158 0.920 C
0.000 0.976 0.225 C
```


# 9
VASP calculation (GGA-PBE) on crystalline B7C5 at its relaxed geometry.

Summary:
The volume is 7.1 Å³/atom. As for the formation energy: 0.39 eV per atom.

POSCAR file:
```
B7C5
1.0
0.734 2.920 -3.607
2.425 0.834 -3.936
-6.009 -4.721 -0.959
B C
7 5
Direct
0.616 0.616 0.772 B
0.498 0.498 0.347 B
0.325 0.325 0.664 B
0.026 0.026 0.980 B
0.314 0.314 0.154 B
0.930 0.930 0.183 B
0.988 0.988 0.512 B
0.494 0.494 0.870 C
0.157 0.157 0.212 C
0.819 0.819 0.523 C
0.673 0.673 0.336 C
0.159 0.159 0.697 C
```


# 10
VASP calculation (GGA-PBE) on crystalline BC11 at its relaxed geometry.

Summary:
The volume is 5.9 Å³/atom. As for the formation energy: 0.18 eV per atom.

POSCAR file:
```
BC11
1.0
-1.152 -2.248 -0.051
1.676 -0.897 1.665
-6.539 3.162 8.285
C B
11 1
Direct
0.000 0.500 0.091 C
0.500 0.000 0.929 C
0.000 0.000 0.659 C
0.500 0.000 0.576 C
0.500 0.000 0.252 C
0.000 0.500 0.738 C
0.000 0.000 0.007 C
0.000 0.000 0.333 C
0.000 0.500 0.414 C
0.500 0.500 0.171 C
0.500 0.500 0.496 C
0.500 0.500 0.833 B
```


# 11
VASP calculation (GGA-PBE) on crystalline B3C7 at its relaxed geometry.

Summary:
The volume is 7.2 Å³/atom. As for the formation energy: 0.33 eV per atom.

POSCAR file:
```
B3C7
1.0
12.105 -1.312 0.097
12.105 1.312 0.097
11.945 0.000 2.363
C B
7 3
Direct
0.613 0.613 0.613 C
0.444 0.444 0.444 C
0.791 0.791 0.791 C
0.838 0.838 0.838 C
0.659 0.659 0.659 C
0.006 0.006 0.006 C
0.048 0.048 0.048 C
0.399 0.399 0.399 B
0.177 0.177 0.177 B
0.274 0.274 0.274 B
```


# 12
VASP calculation (GGA-PBE) on crystalline B3C5 at its relaxed geometry.

Summary:
The volume is 6.4 Å³/atom. As for the formation energy: 0.33 eV per atom.

POSCAR file:
```
B3C5
1.0
-2.315 1.002 0.482
-1.565 -2.123 -3.103
-0.981 -3.733 3.048
C B
5 3
Direct
0.500 0.220 0.500 C
0.000 0.772 0.254 C
0.000 0.772 0.746 C
0.000 0.967 0.000 C
0.000 0.006 0.500 C
0.500 0.522 0.273 B
0.500 0.522 0.727 B
0.500 0.219 0.000 B
```